No. 1
! CoCuSb2 | Alexandria via LeMat-Bulk | GGA-PBEsol | relaxed; values from VASP
&SYSTEM
  ibrav = 0, nat = 4, ntyp = 3
/
ATOMIC_SPECIES
Sb 121.76 Sb.upf
Co 58.93 Co.upf
Cu 63.55 Cu.upf
CELL_PARAMETERS angstrom
-2.571 1.076 -1.363
-1.689 -2.120 1.510
-0.932 4.557 5.355
ATOMIC_POSITIONS angstrom
Sb -0.679 3.320 3.901
Sb -0.253 1.237 1.453
Co -2.596 1.756 2.751
Cu -2.130 -0.522 0.073
! * total magnetization: 0.00 μB per formula unit
! * uncorrected formation energy: 246 meV/atom

=====

No. 2
! LaZr2Ge2 | Alexandria via LeMat-Bulk | GGA-PBEsol | relaxed; values from VASP
&SYSTEM
  ibrav = 0, nat = 5, ntyp = 3
/
ATOMIC_SPECIES
La 138.91 La.upf
Zr 91.22 Zr.upf
Ge 72.64 Ge.upf
CELL_PARAMETERS angstrom
-0.429 4.221 -0.208
-4.199 -0.402 0.507
3.018 -1.536 5.972
ATOMIC_POSITIONS angstrom
La 0.000 0.000 0.000
Zr -1.747 -0.014 3.315
Zr 0.137 2.298 2.957
Ge -2.169 1.986 1.406
Ge 0.560 0.297 4.865
! * total magnetization: 0.00 μB per formula unit
! * distance to the lowest polymorph of the same formula: 0.0 meV per atom
! * energy relative to the elements: -746.9 meV/atom

=====

No. 3
! Sc2FeMo | Alexandria via LeMat-Bulk | GGA-PBEsol | relaxed; values from VASP
&SYSTEM
  ibrav = 0, nat = 4, ntyp = 3
/
ATOMIC_SPECIES
Sc 44.96 Sc.upf
Fe 55.84 Fe.upf
Mo 95.94 Mo.upf
CELL_PARAMETERS angstrom
3.113 0.000 0.000
0.000 4.588 0.000
-1.556 -2.294 4.629
ATOMIC_POSITIONS angstrom
Sc 0.000 0.000 0.077
Sc 0.000 2.294 2.095
Fe 0.000 0.000 4.454
Mo 1.556 0.000 2.632
! * total magnetization: 0.01 μB per formula unit
! * distance to the lowest polymorph of the same formula: 21.5 meV per atom
! * energy relative to the elements: 46.3 meV/atom

=====

No. 4
! BaTlPt3 | Alexandria via LeMat-Bulk | GGA-PBEsol | relaxed; values from VASP
&SYSTEM
  ibrav = 0, nat = 5, ntyp = 3
/
ATOMIC_SPECIES
Tl 204.38 Tl.upf
Pt 195.08 Pt.upf
Ba 137.33 Ba.upf
CELL_PARAMETERS angstrom
5.078 0.000 0.000
0.000 5.078 0.000
0.000 0.000 5.078
ATOMIC_POSITIONS angstrom
Tl 0.000 0.000 0.000
Pt 2.539 0.000 0.000
Pt 0.000 0.000 2.539
Pt 0.000 2.539 0.000
Ba 2.539 2.539 2.539
! * total magnetization: 0.00 μB per formula unit
! * energy relative to the elements: 378.7 meV/atom

=====

No. 5
! K2ReMo | Alexandria via LeMat-Bulk | GGA-PBEsol | relaxed; values from VASP
&SYSTEM
  ibrav = 0, nat = 4, ntyp = 3
/
ATOMIC_SPECIES
K 39.10 K.upf
Re 186.21 Re.upf
Mo 95.94 Mo.upf
CELL_PARAMETERS angstrom
-0.652 2.162 -1.356
-0.860 -2.938 -4.270
-5.257 0.772 3.760
ATOMIC_POSITIONS angstrom
K -2.629 0.386 1.880
K -3.058 -1.083 -0.255
Re -0.756 -0.388 -2.813
Mo -0.326 1.081 -0.678
! * total magnetization: 0.00 μB per formula unit
! * distance to the lowest polymorph of the same formula: 48.8 meV per atom
! * energy relative to the elements: 1516.8 meV/atom

=====

No. 6
! TcGeC3 | Alexandria via LeMat-Bulk | GGA-PBEsol | relaxed; values from VASP
&SYSTEM
  ibrav = 0, nat = 5, ntyp = 3
/
ATOMIC_SPECIES
C 12.01 C.upf
Tc 98.00 Tc.upf
Ge 72.64 Ge.upf
CELL_PARAMETERS angstrom
3.832 0.000 0.000
0.000 3.832 0.000
0.000 0.000 3.832
ATOMIC_POSITIONS angstrom
C 0.000 1.916 0.000
C 0.000 0.000 1.916
C 1.916 0.000 0.000
Tc 1.916 1.916 1.916
Ge 0.000 0.000 0.000
! * total magnetization: 1.71 μB per formula unit
! * energy relative to the elements: 2756.6 meV/atom

=====

No. 7
! MnSiN2F | Alexandria via LeMat-Bulk | GGA-PBEsol | relaxed; values from VASP
&SYSTEM
  ibrav = 0, nat = 5, ntyp = 4
/
ATOMIC_SPECIES
Si 28.09 Si.upf
F 19.00 F.upf
N 14.01 N.upf
Mn 54.94 Mn.upf
CELL_PARAMETERS angstrom
-2.641 0.987 -2.247
-1.553 -3.228 0.408
-1.868 1.245 2.743
ATOMIC_POSITIONS angstrom
Si 0.000 0.000 0.000
F -0.934 0.623 1.372
N -1.321 0.493 -1.124
N -0.777 -1.614 0.204
Mn -3.031 -0.498 0.452
! * total magnetization: 4.29 μB per formula unit
! * uncorrected formation energy: -497 meV/atom

=====

No. 8
! In2AgSe | Alexandria via LeMat-Bulk | GGA-PBEsol | relaxed; values from VASP
&SYSTEM
  ibrav = 0, nat = 4, ntyp = 3
/
ATOMIC_SPECIES
In 114.82 In.upf
Ag 107.87 Ag.upf
Se 78.96 Se.upf
CELL_PARAMETERS angstrom
-2.947 2.098 -1.494
-2.642 -2.694 1.430
0.960 4.367 4.239
ATOMIC_POSITIONS angstrom
In -1.488 1.622 5.213
In -2.743 0.791 1.395
Ag -1.600 3.698 3.223
Se 0.000 1.518 2.133
! * total magnetization: 0.00 μB per formula unit
! * uncorrected formation energy: -125 meV/atom

=====

No. 9
! KReSi2 | Alexandria via LeMat-Bulk | GGA-PBEsol | relaxed; values from VASP
&SYSTEM
  ibrav = 0, nat = 4, ntyp = 3
/
ATOMIC_SPECIES
Re 186.21 Re.upf
Si 28.09 Si.upf
K 39.10 K.upf
CELL_PARAMETERS angstrom
3.087 0.000 0.000
0.000 3.087 0.000
0.000 0.000 7.751
ATOMIC_POSITIONS angstrom
Re 1.544 1.544 3.875
Si 0.000 0.000 2.550
Si 0.000 0.000 5.201
K 1.544 1.544 0.000
! * total magnetization: 0.00 μB per formula unit
! * distance to the lowest polymorph of the same formula: 0.0 meV per atom
! * uncorrected formation energy: 29 meV/atom

=====

No. 10
! SrMnClO2 | Alexandria via LeMat-Bulk | GGA-PBEsol | relaxed; values from VASP
&SYSTEM
  ibrav = 0, nat = 5, ntyp = 4
/
ATOMIC_SPECIES
O 16.00 O.upf
Cl 35.45 Cl.upf
Mn 54.94 Mn.upf
Sr 87.62 Sr.upf
CELL_PARAMETERS angstrom
3.963 0.000 0.000
0.000 3.963 0.000
0.000 0.000 4.613
ATOMIC_POSITIONS angstrom
O 0.000 1.981 0.000
O 1.981 0.000 0.000
Cl 0.000 0.000 2.306
Mn 0.000 0.000 0.000
Sr 1.981 1.981 2.306
! * total magnetization: 3.97 μB per formula unit
! * uncorrected formation energy: -1781 meV/atom

=====

No. 11
! TaHgOs2 | Alexandria via LeMat-Bulk | GGA-PBEsol | relaxed; values from VASP
&SYSTEM
  ibrav = 0, nat = 4, ntyp = 3
/
ATOMIC_SPECIES
Os 190.23 Os.upf
Hg 200.59 Hg.upf
Ta 180.95 Ta.upf
CELL_PARAMETERS angstrom
-1.789 -0.235 -2.447
1.919 -3.880 -1.031
-3.258 -2.303 2.603
ATOMIC_POSITIONS angstrom
Os -2.524 -1.269 0.078
Os 0.000 0.000 0.000
Hg -0.669 -3.091 0.786
Ta 0.065 -2.057 -1.739
! * total magnetization: 0.00 μB per formula unit
! * energy relative to the elements: 635.4 meV/atom

=====

No. 12
! La2Pb2Cl | Alexandria via LeMat-Bulk | GGA-PBEsol | relaxed; values from VASP
&SYSTEM
  ibrav = 0, nat = 10, ntyp = 3
/
ATOMIC_SPECIES
La 138.91 La.upf
Cl 35.45 Cl.upf
Pb 207.20 Pb.upf
CELL_PARAMETERS angstrom
-1.523 -0.935 -4.442
5.332 -5.927 -0.581
-5.385 -5.131 2.927
ATOMIC_POSITIONS angstrom
La 2.657 -4.899 0.120
La -0.816 -2.705 0.849
La -2.709 -6.158 2.226
La 0.763 -8.353 1.497
Cl 0.000 0.000 0.000
Cl -0.026 -5.529 1.173
Pb -2.077 -8.666 -0.043
Pb 1.885 -7.511 -1.645
Pb 0.501 -3.327 -2.052
Pb -3.461 -4.482 -0.450
! * total magnetization: 0.00 μB per formula unit
! * uncorrected formation energy: -992 meV/atom

=====

No. 13
! ZrScSb2 | Alexandria via LeMat-Bulk | GGA-PBEsol | relaxed; values from VASP
&SYSTEM
  ibrav = 0, nat = 4, ntyp = 3
/
ATOMIC_SPECIES
Sb 121.76 Sb.upf
Zr 91.22 Zr.upf
Sc 44.96 Sc.upf
CELL_PARAMETERS angstrom
-1.462 -3.461 -1.623
3.685 -1.738 0.388
-1.437 -1.867 5.274
ATOMIC_POSITIONS angstrom
Sb -1.258 -1.635 4.619
Sb 0.574 -3.298 1.356
Zr -0.144 -4.231 3.992
Sc -0.540 -0.702 1.982
! * total magnetization: 0.00 μB per formula unit
! * distance to the lowest polymorph of the same formula: 4.3 meV per atom
! * uncorrected formation energy: -802 meV/atom

=====

No. 14
! Cr2FeRe | Alexandria via LeMat-Bulk | GGA-PBEsol | relaxed; values from VASP
&SYSTEM
  ibrav = 0, nat = 4, ntyp = 3
/
ATOMIC_SPECIES
Cr 52.00 Cr.upf
Re 186.21 Re.upf
Fe 55.84 Fe.upf
CELL_PARAMETERS angstrom
4.082 0.000 0.000
2.041 3.535 0.000
2.041 1.178 3.333
ATOMIC_POSITIONS angstrom
Cr 6.123 3.535 2.500
Cr 2.041 1.178 0.833
Re 4.082 2.357 1.666
Fe 0.000 0.000 0.000
! * total magnetization: 2.92 μB per formula unit
! * distance to the lowest polymorph of the same formula: 0.0 meV per atom
! * energy relative to the elements: 92.3 meV/atom

=====

No. 15
! BaLa2Co | Alexandria via LeMat-Bulk | GGA-PBEsol | relaxed; values from VASP
&SYSTEM
  ibrav = 0, nat = 4, ntyp = 3
/
ATOMIC_SPECIES
Ba 137.33 Ba.upf
La 138.91 La.upf
Co 58.93 Co.upf
CELL_PARAMETERS angstrom
4.033 0.000 0.000
2.017 3.493 0.000
2.017 1.164 9.862
ATOMIC_POSITIONS angstrom
Ba 4.033 2.329 4.931
La 2.017 1.164 1.437
La 6.050 3.493 8.425
Co 0.000 0.000 0.000
! * total magnetization: 0.00 μB per formula unit
! * distance to the lowest polymorph of the same formula: 0.0 meV per atom
! * energy relative to the elements: -28.0 meV/atom